Crystalline CaYCoO2 at its relaxed geometry. Source: the Alexandria database, functional PBE with a Hubbard U.

Summary:
Magnetization = 1.84 μB per cell
DFT total energy = -24.3 eV/cell

Cell lengths 4.2936, 4.1416, 4.2936 Å; angles 90.00, 90.00, 90.00 degrees
With the nearest neighbours (Å) after each atom.
Fractional coordinates of all 5 atoms:
O (0.5000, 0.0000, 0.0000)  2 Co 2.15
O (0.0000, 0.0000, 0.5000)  2 Co 2.15
Y (0.5000, 0.5000, 0.5000)  8 O 2.98, 4 Ca 3.04
Co (0.0000, 0.0000, 0.0000)  2 Ca 2.07, 4 O 2.15
Ca (0.0000, 0.5000, 0.0000)  2 Co 2.07